CaCrW2C | Alexandria | GGA-PBEsol | relaxed; E_form = 3.63 eV/atom; VASP energy = -6.30 eV/atom
1.0
4.683 0.000 0.000
0.000 4.683 0.000
0.000 0.000 4.049
Ca Cr W C
1 1 2 1
Direct
0.000 0.000 0.000 Ca
0.500 0.500 0.500 Cr
0.000 0.500 0.000 W
0.500 0.000 0.000 W
0.000 0.000 0.500 C

---

NiIr2Ru | Alexandria | GGA-PBEsol | relaxed; E_form = 0.03 eV/atom; relative energy among the computed polymorphs = 15 kJ/mol of formula units; VASP energy = -8.97 eV/atom
1.0
2.669 0.000 0.000
0.000 3.720 0.000
0.000 0.000 5.258
Ni Ir Ru
1 2 1
Direct
0.000 0.000 0.000 Ni
0.000 0.000 0.492 Ir
0.500 0.500 0.761 Ir
0.500 0.500 0.243 Ru

---

BeZnRh2 | Alexandria | GGA-PBEsol | relaxed; E_form = -0.17 eV/atom; relative energy among the computed polymorphs = 113 kJ/mol of formula units; VASP energy = -5.63 eV/atom
1.0
2.842 0.000 0.000
0.000 3.935 0.000
0.000 0.000 4.452
Be Zn Rh
1 1 2
Direct
0.000 0.000 0.000 Be
0.500 0.000 0.500 Zn
0.000 0.500 0.500 Rh
0.500 0.500 0.000 Rh

---

TlIn2Sb | Alexandria | GGA-PBEsol | relaxed; raw formation energy = 16 meV per atom; relative energy among the computed polymorphs = 2 kJ/mol of formula units; VASP energy = -3.27 eV/atom
1.0
4.970 0.000 0.000
0.000 4.970 0.000
0.000 0.000 4.328
Tl In Sb
1 2 1
Direct
0.000 0.000 0.000 Tl
0.000 0.500 0.500 In
0.500 0.000 0.500 In
0.500 0.500 0.000 Sb

---

Li2TaRu | Alexandria | GGA-PBEsol | relaxed; E_form = 0.58 eV/atom; relative energy among the computed polymorphs = 129 kJ/mol of formula units; VASP energy = -6.08 eV/atom
1.0
5.892 0.000 0.000
0.000 5.892 0.000
0.000 0.000 5.892
Li Ta Ru
8 4 4
Direct
0.250 0.250 0.250 Li
0.250 0.250 0.750 Li
0.250 0.750 0.250 Li
0.250 0.750 0.750 Li
0.750 0.250 0.250 Li
0.750 0.250 0.750 Li
0.750 0.750 0.250 Li
0.750 0.750 0.750 Li
0.000 0.000 0.000 Ta
0.000 0.500 0.500 Ta
0.500 0.000 0.500 Ta
0.500 0.500 0.000 Ta
0.000 0.000 0.500 Ru
0.000 0.500 0.000 Ru
0.500 0.000 0.000 Ru
0.500 0.500 0.500 Ru

---

YB3O6 | Alexandria | GGA-PBEsol | relaxed; raw formation energy = -2805 meV per atom; relative energy among the computed polymorphs = 0 kJ/mol of formula units; VASP energy = -8.74 eV/atom
1.0
18.194 0.000 0.000
0.000 4.378 0.000
0.000 0.000 4.225
Y B O
4 12 24
Direct
0.165 0.192 0.000 Y
0.335 0.192 0.500 Y
0.665 0.808 0.000 Y
0.835 0.808 0.500 Y
0.001 0.825 0.908 B
0.074 0.672 0.434 B
0.213 0.652 0.479 B
0.287 0.652 0.979 B
0.426 0.672 0.934 B
0.499 0.825 0.408 B
0.501 0.175 0.908 B
0.574 0.328 0.434 B
0.713 0.348 0.479 B
0.787 0.348 0.979 B
0.926 0.328 0.934 B
0.999 0.175 0.408 B
0.015 0.864 0.267 O
0.063 0.354 0.345 O
0.069 0.728 0.772 O
0.146 0.772 0.325 O
0.210 0.321 0.486 O
0.222 0.765 0.803 O
0.278 0.765 0.303 O
0.290 0.321 0.986 O
0.354 0.772 0.825 O
0.431 0.728 0.272 O
0.437 0.354 0.845 O
0.485 0.864 0.767 O
0.515 0.136 0.267 O
0.563 0.646 0.345 O
0.569 0.272 0.772 O
0.646 0.228 0.325 O
0.710 0.679 0.486 O
0.722 0.235 0.803 O
0.778 0.235 0.303 O
0.790 0.679 0.986 O
0.854 0.228 0.825 O
0.931 0.272 0.272 O
0.937 0.646 0.845 O
0.985 0.136 0.767 O

---

MnCo | Alexandria | GGA-PBEsol | relaxed; E_form = 0.07 eV/atom; VASP energy = -8.68 eV/atom
1.0
2.808 0.000 0.000
0.000 2.808 0.000
0.000 0.000 2.808
Mn Co
1 1
Direct
0.000 0.000 0.000 Mn
0.500 0.500 0.500 Co

---

MgCr2Pb | Alexandria | GGA-PBEsol | relaxed; E_form = 0.51 eV/atom; VASP energy = -6.04 eV/atom
1.0
6.559 0.000 0.000
0.000 6.559 0.000
0.000 0.000 6.559
Mg Cr Pb
4 8 4
Direct
0.000 0.000 0.000 Mg
0.000 0.500 0.500 Mg
0.500 0.000 0.500 Mg
0.500 0.500 0.000 Mg
0.000 0.000 0.500 Cr
0.000 0.500 0.000 Cr
0.250 0.250 0.250 Cr
0.250 0.750 0.750 Cr
0.500 0.000 0.000 Cr
0.500 0.500 0.500 Cr
0.750 0.250 0.750 Cr
0.750 0.750 0.250 Cr
0.250 0.250 0.750 Pb
0.250 0.750 0.250 Pb
0.750 0.250 0.250 Pb
0.750 0.750 0.750 Pb

---

InHgTe2 | Alexandria | GGA-PBEsol | relaxed; raw formation energy = -6 meV per atom; VASP energy = -2.66 eV/atom
1.0
4.353 0.000 0.000
0.000 4.353 0.000
0.000 0.000 11.968
In Hg Te
2 2 4
Direct
0.000 0.000 0.000 In
0.500 0.500 0.500 In
0.000 0.000 0.500 Hg
0.500 0.500 0.000 Hg
0.000 0.500 0.250 Te
0.000 0.500 0.750 Te
0.500 0.000 0.250 Te
0.500 0.000 0.750 Te

---

LaTcBr2 | Alexandria | GGA-PBEsol | relaxed; raw formation energy = 137 meV per atom; relative energy among the computed polymorphs = 227 kJ/mol of formula units; VASP energy = -4.95 eV/atom
1.0
3.399 0.000 0.000
0.000 5.968 0.000
0.000 0.000 8.815
La Tc Br
2 2 4
Direct
0.000 0.000 0.000 La
0.500 0.500 0.000 La
0.000 0.000 0.500 Tc
0.500 0.500 0.500 Tc
0.000 0.500 0.288 Br
0.000 0.500 0.712 Br
0.500 0.000 0.288 Br
0.500 0.000 0.712 Br

---

LaTeP | Alexandria | GGA-PBEsol | relaxed; raw formation energy = -550 meV per atom; VASP energy = -5.44 eV/atom
1.0
7.159 0.000 0.000
0.000 7.159 0.000
0.000 0.000 7.159
La Te P
4 4 4
Direct
0.000 0.000 0.000 La
0.000 0.500 0.500 La
0.500 0.000 0.500 La
0.500 0.500 0.000 La
0.250 0.250 0.250 Te
0.250 0.750 0.750 Te
0.750 0.250 0.750 Te
0.750 0.750 0.250 Te
0.250 0.250 0.750 P
0.250 0.750 0.250 P
0.750 0.250 0.250 P
0.750 0.750 0.750 P

---

CuTc2Hg | Alexandria | GGA-PBEsol | relaxed; E_form = 0.54 eV/atom; VASP energy = -6.32 eV/atom
1.0
3.209 0.000 0.000
0.000 3.209 0.000
0.000 0.000 5.875
Cu Tc Hg
1 2 1
Direct
0.000 0.000 0.000 Cu
0.500 0.500 0.196 Tc
0.500 0.500 0.804 Tc
0.000 0.000 0.500 Hg

---

HgPdW3 | Alexandria | GGA-PBEsol | relaxed; E_form = 3.24 eV/atom; VASP energy = -6.35 eV/atom
1.0
4.814 0.000 0.000
0.000 4.814 0.000
0.000 0.000 4.814
Hg Pd W
1 1 3
Direct
0.000 0.000 0.000 Hg
0.500 0.500 0.500 Pd
0.000 0.000 0.500 W
0.000 0.500 0.000 W
0.500 0.000 0.000 W

---

Sm2SeOF2 | Alexandria | GGA-PBEsol | relaxed; raw formation energy = -3428 meV per atom; VASP energy = -7.28 eV/atom
1.0
13.508 0.000 0.000
-6.754 11.698 0.000
0.000 0.000 3.792
Sm Se O F
12 6 6 12
Direct
0.056 0.766 0.250 Sm
0.119 0.515 0.250 Sm
0.234 0.289 0.250 Sm
0.289 0.056 0.750 Sm
0.396 0.881 0.250 Sm
0.485 0.604 0.250 Sm
0.515 0.396 0.750 Sm
0.604 0.119 0.750 Sm
0.711 0.944 0.250 Sm
0.766 0.711 0.750 Sm
0.881 0.485 0.750 Sm
0.944 0.234 0.750 Sm
0.206 0.718 0.750 Se
0.282 0.487 0.750 Se
0.487 0.206 0.250 Se
0.513 0.794 0.750 Se
0.718 0.513 0.250 Se
0.794 0.282 0.250 Se
0.015 0.427 0.750 O
0.412 0.985 0.750 O
0.427 0.412 0.250 O
0.573 0.588 0.750 O
0.588 0.015 0.250 O
0.985 0.573 0.250 O
0.068 0.315 0.250 F
0.101 0.892 0.750 F
0.108 0.209 0.750 F
0.209 0.101 0.250 F
0.248 0.932 0.250 F
0.315 0.248 0.750 F
0.685 0.752 0.250 F
0.752 0.068 0.750 F
0.791 0.899 0.750 F
0.892 0.791 0.250 F
0.899 0.108 0.250 F
0.932 0.685 0.750 F

---

Ta3ZnSe | Alexandria | GGA-PBEsol | relaxed; raw formation energy = 1058 meV per atom; VASP energy = -7.56 eV/atom
1.0
4.665 0.000 0.000
0.000 4.665 0.000
0.000 0.000 4.665
Ta Zn Se
3 1 1
Direct
0.000 0.000 0.500 Ta
0.000 0.500 0.000 Ta
0.500 0.000 0.000 Ta
0.500 0.500 0.500 Zn
0.000 0.000 0.000 Se

---

BaCo2Os | Alexandria | GGA-PBEsol | relaxed; E_form = 1.15 eV/atom; relative energy among the computed polymorphs = 311 kJ/mol of formula units; VASP energy = -6.31 eV/atom
1.0
2.972 0.000 0.000
-1.486 2.574 0.000
0.000 0.000 27.008
Ba Co Os
3 6 3
Direct
0.000 0.000 0.000 Ba
0.333 0.667 0.667 Ba
0.667 0.333 0.333 Ba
0.000 0.000 0.229 Co
0.000 0.000 0.506 Co
0.333 0.667 0.173 Co
0.333 0.667 0.895 Co
0.667 0.333 0.562 Co
0.667 0.333 0.840 Co
0.000 0.000 0.772 Os
0.333 0.667 0.439 Os
0.667 0.333 0.106 Os

---

CdCoAu | Alexandria | GGA-PBEsol | relaxed; E_form = 0.42 eV/atom; VASP energy = -3.86 eV/atom
1.0
5.962 0.000 0.000
0.000 5.962 0.000
0.000 0.000 5.962
Cd Co Au
4 4 4
Direct
0.000 0.000 0.000 Cd
0.000 0.500 0.500 Cd
0.500 0.000 0.500 Cd
0.500 0.500 0.000 Cd
0.250 0.250 0.750 Co
0.250 0.750 0.250 Co
0.750 0.250 0.250 Co
0.750 0.750 0.750 Co
0.000 0.000 0.500 Au
0.000 0.500 0.000 Au
0.500 0.000 0.000 Au
0.500 0.500 0.500 Au

---

TlAu2 | Alexandria | GGA-PBEsol | relaxed; E_form = 0.03 eV/atom; relative energy among the computed polymorphs = 3 kJ/mol of formula units; VASP energy = -3.47 eV/atom
1.0
0.000 3.942 3.942
3.942 0.000 3.942
3.942 3.942 0.000
Tl Au
2 4
Direct
0.125 0.125 0.125 Tl
0.875 0.875 0.875 Tl
0.000 0.500 0.500 Au
0.500 0.000 0.500 Au
0.500 0.500 0.000 Au
0.500 0.500 0.500 Au

---

Cr3C | Alexandria | GGA-PBEsol | relaxed; E_form = 0.53 eV/atom; relative energy among the computed polymorphs = 263 kJ/mol of formula units; VASP energy = -9.56 eV/atom
1.0
3.093 0.000 0.000
0.000 3.093 0.000
0.000 0.000 7.922
Cr C
6 2
Direct
0.000 0.000 0.000 Cr
0.000 0.500 0.250 Cr
0.000 0.500 0.750 Cr
0.500 0.000 0.250 Cr
0.500 0.000 0.750 Cr
0.500 0.500 0.500 Cr
0.000 0.000 0.500 C
0.500 0.500 0.000 C

---

Ta2CrIn | Alexandria | GGA-PBEsol | relaxed; E_form = 0.37 eV/atom; VASP energy = -9.21 eV/atom
1.0
3.026 0.000 0.000
-1.513 2.621 0.000
0.000 0.000 26.236
Ta Cr In
6 3 3
Direct
0.000 0.000 0.000 Ta
0.000 0.000 0.247 Ta
0.333 0.667 0.667 Ta
0.333 0.667 0.913 Ta
0.667 0.333 0.333 Ta
0.667 0.333 0.580 Ta
0.000 0.000 0.735 Cr
0.333 0.667 0.402 Cr
0.667 0.333 0.069 Cr
0.000 0.000 0.486 In
0.333 0.667 0.152 In
0.667 0.333 0.819 In